[1]
Material: TiW2Se4S2
Method: DFT, PBE
State: optimized geometry

**Total moment**: 0.00 Bohr magnetons per cell
**VASP energy**: -62.81 eV/f.u.
**Calculated density**: 6.4 Mg/m³
**Space-group type**: No. 156
**Fermi-level density of states**: 0.180 states/eV/atom
**ΔE_f (raw)**: -0.76 eV/atom

abc: 3.329 3.329 21.420
angles: 90.00 90.00 120.00
Element x y z (fractional)
Ti1 0.000 0.000 0.328
W1 0.000 0.000 0.983
W2 0.667 0.333 0.648
Se1 0.000 0.000 0.569
Se2 0.667 0.333 0.062
Se3 0.667 0.333 0.905
Se4 0.000 0.000 0.726
S1 0.667 0.333 0.399
S2 0.667 0.333 0.257



[2]
Material: NbAl3As
Method: DFT, PBE
State: optimized geometry

**Total moment**: 0.00 Bohr magnetons per cell
**VASP energy**: -20.89 eV/f.u.
**Energy of formation**: 1.012 eV/atom
**Calculated density**: 3.3 Mg/m³
**Space-group type**: No. 221
**Relative energy among the computed polymorphs**: 0.0536 eV per atom
**Fermi-level density of states**: 0.736 states/eV/atom

abc: 5.001 5.001 5.001
angles: 90.00 90.00 90.00
Element x y z (fractional)
Nb1 0.000 0.000 0.000
As1 0.500 0.500 0.500
Al1 0.000 0.500 0.000
Al2 0.000 0.000 0.500
Al3 0.500 0.000 0.000



[3]
Material: CdAgAs2
Method: DFT, PBE
State: optimized geometry

**Total moment**: 0.00 Bohr magnetons per cell
**VASP energy**: -12.69 eV/f.u.
**Energy of formation**: 0.093 eV/atom
**Calculated density**: 6.5 Mg/m³
**Space-group type**: No. 8
**Fermi-level density of states**: 0.235 states/eV/atom

abc: 4.767 4.767 7.088
angles: 89.52 89.52 35.86
Element x y z (fractional)
As1 0.899 0.899 0.057
As2 0.850 0.850 0.718
Ag1 0.172 0.172 0.196
Cd1 0.579 0.579 0.529



[4]
Material: ErNp3Tl4S8
Method: DFT, PBE
State: optimized geometry

**Total moment**: 12.00 Bohr magnetons per cell
**VASP energy**: -104.03 eV/f.u.
**Calculated density**: 7.6 Mg/m³
**Space-group type**: No. 166
**Fermi-level density of states**: 1.679 states/eV/atom
**ΔE_f (raw)**: -1.13 eV/atom

abc: 8.098 8.849 8.098
angles: 117.23 120.00 90.00
Each line ends with the local moment (μB).
Element x y z (fractional)
Er1 0.000 0.500 0.000  0.07
Np1 0.500 0.500 0.000  3.83
Np2 0.500 0.500 0.500  3.83
Np3 0.000 0.500 0.500  3.83
Tl1 0.500 0.000 0.000  0.02
Tl2 0.500 0.000 0.500  0.01
Tl3 0.000 0.000 0.000  0.01
Tl4 0.000 0.000 0.500  0.01
S1 0.230 0.695 0.965  -0.06
S2 0.230 0.695 0.461  -0.06
S3 0.269 0.308 0.539  -0.09
S4 0.734 0.695 0.965  -0.06
S5 0.266 0.305 0.035  -0.06
S6 0.731 0.692 0.461  -0.09
S7 0.770 0.305 0.539  -0.06
S8 0.770 0.305 0.035  -0.06



[5]
Material: ErPu4Pd5
Method: DFT, PBE
State: optimized geometry

**Total moment**: 0.22 Bohr magnetons per cell
**VASP energy**: -92.82 eV/f.u.
**Energy of formation**: -0.497 eV/atom
**Calculated density**: 12.9 Mg/m³
**Space-group type**: No. 123
**Fermi-level density of states**: 4.098 states/eV/atom

abc: 3.426 3.426 18.428
angles: 90.00 90.00 90.00
Each line ends with the local moment (μB).
Element x y z (fractional)
Er1 0.000 0.000 0.000  -0.06
Pu1 0.000 0.000 0.198  -5.33
Pu2 0.000 0.000 0.400  5.30
Pu3 0.000 0.000 0.600  5.30
Pu4 0.000 0.000 0.802  -5.33
Pd1 0.500 0.500 0.090  0.00
Pd2 0.500 0.500 0.298  0.00
Pd3 0.500 0.500 0.500  -0.05
Pd4 0.500 0.500 0.702  0.00
Pd5 0.500 0.500 0.910  0.00



[6]
Material: Nd10Dy4Y
Method: DFT, PBE
State: optimized geometry

**Total moment**: 0.00 Bohr magnetons per cell
**VASP energy**: -66.18 eV/f.u.
**Energy of formation**: 0.425 eV/atom
**Calculated density**: 6.6 Mg/m³
**Space-group type**: No. 87
**Fermi-level density of states**: 1.679 states/eV/atom

abc: 10.934 8.958 8.958
angles: 68.13 52.39 52.39
Element x y z (fractional)
Nd1 0.250 0.500 0.500
Nd2 0.713 0.347 0.893
Nd3 0.940 0.107 0.347
Nd4 0.393 0.893 0.653
Nd5 0.953 0.653 0.107
Nd6 0.287 0.653 0.107
Nd7 0.750 0.500 0.500
Nd8 0.047 0.347 0.893
Nd9 0.607 0.107 0.347
Nd10 0.060 0.893 0.653
Dy1 0.557 0.662 0.224
Dy2 0.781 0.776 0.662
Dy3 0.219 0.224 0.338
Dy4 0.443 0.338 0.776
Y1 0.000 0.000 0.000



[7]
Material: Ba2CuPt
Method: DFT, PBE
State: optimized geometry

**Total moment**: 0.00 Bohr magnetons per cell
**VASP energy**: -15.78 eV/f.u.
**Energy of formation**: -0.449 eV/atom
**Calculated density**: 5.9 Mg/m³
**Space-group type**: No. 160
**Fermi-level density of states**: 0.911 states/eV/atom

abc: 4.545 4.545 8.766
angles: 74.97 74.97 60.00
Element x y z (fractional)
Ba1 0.471 0.471 0.587
Ba2 0.309 0.309 0.072
Cu1 0.723 0.723 0.830
Pt1 0.057 0.057 0.829



[8]
Material: Cr2Os3Ru4
Method: DFT, PBE
State: optimized geometry

**Total moment**: 0.00 Bohr magnetons per cell
**VASP energy**: -89.02 eV/f.u.
**Energy of formation**: 0.113 eV/atom
**Calculated density**: 14.6 Mg/m³
**Space-group type**: No. 2
**Fermi-level density of states**: 1.148 states/eV/atom

abc: 3.800 10.352 8.448
angles: 49.67 90.07 100.65
Element x y z (fractional)
Cr1 0.585 0.169 0.416
Cr2 0.804 0.609 0.864
Cr3 0.415 0.831 0.584
Cr4 0.196 0.391 0.136
Os1 0.029 0.060 0.308
Os2 0.358 0.717 0.967
Os3 0.971 0.940 0.692
Os4 0.642 0.283 0.033
Os5 0.305 0.611 0.360
Os6 0.695 0.389 0.640
Ru1 0.471 0.943 0.202
Ru2 0.917 0.833 0.081
Ru3 0.529 0.057 0.798
Ru4 0.083 0.167 0.919
Ru5 0.138 0.276 0.523
Ru6 0.252 0.505 0.751
Ru7 0.862 0.724 0.477
Ru8 0.748 0.495 0.249



[9]
Material: ScTlC2
Method: DFT, PBE
State: optimized geometry

**Total moment**: 0.00 Bohr magnetons per cell
**VASP energy**: -22.08 eV/f.u.
**Energy of formation**: 1.267 eV/atom
**Calculated density**: 6.6 Mg/m³
**Space-group type**: No. 122
**Relative energy among the computed polymorphs**: 0.0000 eV per atom
**Fermi-level density of states**: 0.703 states/eV/atom

abc: 4.765 4.765 6.954
angles: 69.97 69.97 90.00
Element x y z (fractional)
Sc1 0.500 0.500 0.000
Sc2 0.250 0.750 0.500
Tl1 0.000 0.000 0.000
Tl2 0.750 0.250 0.500
C1 0.608 0.125 0.250
C2 0.142 0.625 0.250
C3 0.375 0.392 0.750
C4 0.875 0.858 0.750



[10]
Material: GeTeN2Cl
Method: DFT, PBE
State: optimized geometry

**Total moment**: 2.35 Bohr magnetons per cell
**VASP energy**: -15.76 eV/f.u.
**Calculated density**: 4.6 Mg/m³
**Space-group type**: No. 123
**Relative energy among the computed polymorphs**: 0.8959 eV per atom
**Fermi-level density of states**: 0.280 states/eV/atom
**ΔE_f (raw)**: 2.10 eV/atom

abc: 4.196 4.196 5.405
angles: 90.00 90.00 90.00
Each line ends with the local moment (μB).
Element x y z (fractional)
N1 0.000 0.500 0.000  0.86
N2 0.500 0.000 0.000  0.86
Ge1 0.500 0.500 0.500  -0.07
Te1 0.000 0.000 0.500  0.07
Cl1 0.000 0.000 0.000  -0.03



[11]
Material: CaP3W
Method: DFT, PBE
State: optimized geometry

**Total moment**: 3.21 Bohr magnetons per cell
**VASP energy**: -21.43 eV/f.u.
**Energy of formation**: 1.950 eV/atom
**Calculated density**: 4.3 Mg/m³
**Space-group type**: No. 221
**Relative energy among the computed polymorphs**: 2.0786 eV per atom
**Fermi-level density of states**: 0.791 states/eV/atom

abc: 4.963 4.963 4.963
angles: 90.00 90.00 90.00
Each line ends with the local moment (μB).
Element x y z (fractional)
P1 0.000 0.500 0.000  0.09
P2 0.000 0.000 0.500  0.09
P3 0.500 0.000 0.000  0.09
Ca1 0.000 0.000 0.000  -0.02
W1 0.500 0.500 0.500  -2.86



[12]
Material: In2NiRu
Method: DFT, PBE
State: optimized geometry

**Total moment**: 1.04 Bohr magnetons per cell
**VASP energy**: -19.13 eV/f.u.
**Energy of formation**: 0.352 eV/atom
**Calculated density**: 9.1 Mg/m³
**Space-group type**: No. 160
**Fermi-level density of states**: 1.066 states/eV/atom

abc: 8.971 8.971 8.971
angles: 19.65 19.65 19.65
Each line ends with the local moment (μB).
Element x y z (fractional)
In1 0.008 0.008 0.008  -0.01
In2 0.239 0.239 0.239  -0.01
Ni1 0.494 0.494 0.494  0.43
Ru1 0.758 0.758 0.758  0.65